Entry 1:
Compound: TaHRh3
Source: Alexandria via LeMat-Bulk
Functional: PBE-GGA
Structure: relaxed

```
TaHRh3
1.0
5.0925 0.0000 0.0000
0.0000 7.1520 0.0000
0.0000 0.0000 7.3553
Ta H Rh
4 4 12
Direct
0.0000 0.0000 0.0000
0.0000 0.5000 0.0000
0.5000 0.0000 0.5000
0.5000 0.5000 0.5000
0.0806 0.2500 0.4261
0.4194 0.7500 0.9261
0.5806 0.2500 0.0739
0.9194 0.7500 0.5739
0.0373 0.5774 0.3419
0.0373 0.9226 0.3419
0.2287 0.7500 0.7097
0.2713 0.2500 0.2097
0.4627 0.0774 0.8419
0.4627 0.4226 0.8419
0.5373 0.5774 0.1581
0.5373 0.9226 0.1581
0.7287 0.7500 0.7903
0.7713 0.2500 0.2903
0.9627 0.0774 0.6581
0.9627 0.4226 0.6581
```

Output
**Total DFT energy (no corrections)**: -150.08 eV for the cell shown

***

Entry 2:
Compound: TaHRh3
Source: Alexandria via LeMat-Bulk
Functional: PBE-GGA
Structure: relaxed

```
TaHRh3
1.0
7.4615 0.0000 0.0000
0.0000 4.4658 0.0000
-6.5696 0.0000 7.4167
Ta H Rh
4 4 12
Direct
0.2503 0.2424 0.2031
0.2503 0.2576 0.7031
0.7497 0.7424 0.2969
0.7497 0.7576 0.7969
0.2476 0.5427 0.3737
0.2476 0.9573 0.8737
0.7524 0.0427 0.1263
0.7524 0.4573 0.6263
0.0054 0.2481 0.8389
0.0054 0.2519 0.3389
0.2502 0.7485 0.0442
0.2502 0.7515 0.5442
0.4956 0.2463 0.5838
0.4956 0.2537 0.0838
0.5044 0.7463 0.9162
0.5044 0.7537 0.4162
0.7498 0.2485 0.4558
0.7498 0.2515 0.9558
0.9946 0.7481 0.6611
0.9946 0.7519 0.1611
```

Output
**Total DFT energy (no corrections)**: -157.65 eV for the cell shown

***

Entry 3:
Compound: Ta3HRh
Source: Alexandria via LeMat-Bulk
Functional: PBE-GGA
Structure: relaxed

```
Ta3HRh
1.0
4.1437 0.0000 0.0000
0.0000 4.1437 0.0000
0.0000 0.0000 4.1437
Ta H Rh
3 1 1
Direct
0.0000 0.0000 0.5000
0.0000 0.5000 0.0000
0.5000 0.0000 0.0000
0.0000 0.0000 0.0000
0.5000 0.5000 0.5000
```

Output
**Total DFT energy (no corrections)**: -46.77 eV for the cell shown

***

Entry 4:
Compound: TaHRh3
Source: Alexandria via LeMat-Bulk
Functional: PBE-GGA
Structure: relaxed

```
TaHRh3
1.0
4.4635 0.0000 0.0000
0.0000 5.5931 0.0000
-0.0344 0.0000 4.9519
Ta H Rh
2 2 6
Direct
0.2402 0.2500 0.3442
0.7598 0.7500 0.6558
0.4580 0.7500 0.9959
0.5420 0.2500 0.0041
0.2468 0.0051 0.8280
0.2468 0.4949 0.8280
0.2511 0.7500 0.3384
0.7489 0.2500 0.6616
0.7532 0.5051 0.1720
0.7532 0.9949 0.1720
```

Output
**Total DFT energy (no corrections)**: -78.84 eV for the cell shown

***

Entry 5:
Compound: TaHRh3
Source: Alexandria via LeMat-Bulk
Functional: PBE-GGA
Structure: relaxed

```
TaHRh3
1.0
4.0169 0.0000 0.0000
0.0000 5.5418 0.0000
0.0000 0.0000 5.5398
Ta H Rh
2 2 6
Direct
0.0000 0.0000 0.0000
0.0000 0.5000 0.4889
0.5000 0.0000 0.4963
0.5000 0.5000 0.5463
0.0000 0.0000 0.4996
0.0000 0.5000 0.0010
0.5000 0.2475 0.7558
0.5000 0.2513 0.2463
0.5000 0.7487 0.2463
0.5000 0.7525 0.7558
```

Output
**Total DFT energy (no corrections)**: -78.98 eV for the cell shown

***

Entry 6:
Compound: Ta2HRh
Source: Alexandria via LeMat-Bulk
Functional: PBE-GGA
Structure: relaxed

```
Ta2HRh
1.0
-3.0073 3.0073 3.0657
3.0073 -3.0073 3.0657
3.0073 3.0073 -3.0657
Ta H Rh
4 2 2
Direct
0.0478 0.6250 0.9228
0.3750 0.2978 0.4228
0.7022 0.1250 0.0772
0.8750 0.9522 0.5772
0.0000 0.0000 0.0000
0.7500 0.2500 0.5000
0.2500 0.7500 0.5000
0.5000 0.5000 0.0000
```

Output
**Total DFT energy (no corrections)**: -69.05 eV for the cell shown

***

Entry 7:
Compound: TaH3Rh2
Source: Alexandria via LeMat-Bulk
Functional: PBE-GGA
Structure: relaxed

```
TaH3Rh2
1.0
5.9299 0.0000 0.0000
0.0000 3.0108 0.0000
0.0000 0.0000 12.4892
Ta H Rh
4 12 8
Direct
0.1737 0.2500 0.0914
0.3263 0.7500 0.5914
0.6737 0.2500 0.4086
0.8263 0.7500 0.9086
0.0959 0.7500 0.0030
0.1252 0.7500 0.3391
0.1335 0.7500 0.8274
0.3665 0.2500 0.3274
0.3748 0.2500 0.8391
0.4041 0.2500 0.5030
0.5959 0.7500 0.4970
0.6252 0.7500 0.1609
0.6335 0.7500 0.6726
0.8665 0.2500 0.1726
0.8748 0.2500 0.6609
0.9041 0.2500 0.9970
0.1119 0.2500 0.7519
0.1149 0.2500 0.4242
0.3851 0.7500 0.9242
0.3881 0.7500 0.2519
0.6119 0.2500 0.7481
0.6149 0.2500 0.0758
0.8851 0.7500 0.5758
0.8881 0.7500 0.2481
```

Output
**Total DFT energy (no corrections)**: -149.52 eV for the cell shown

***

Entry 8:
Compound: Ta2HRh
Source: Alexandria via LeMat-Bulk
Functional: PBE-GGA
Structure: relaxed

```
Ta2HRh
1.0
1.4562 0.8408 7.1334
-1.4562 0.8408 7.1334
0.0000 -1.6815 7.1334
Ta H Rh
2 1 1
Direct
0.2292 0.2292 0.2292
0.7708 0.7708 0.7708
0.5000 0.5000 0.5000
0.0000 0.0000 0.0000
```

Output
**Total DFT energy (no corrections)**: -35.14 eV for the cell shown